Record 1
10
Lattice="7.238 0.000 0.000 0.000 8.408 0.000 0.000 -4.204 5.772" Properties=species:S:1:pos:R:3 comment="LaTbYHo2 (PBE, optimized geometry)" e_tot_ha_per_atom=-0.1719 space_group="Cmcm (63)" pbc="T T T"
La 1.810 4.204 2.614
La 5.429 0.000 3.158
Tb 1.810 4.204 5.671
Tb 5.429 0.000 0.101
Y 5.429 4.204 2.608
Y 1.810 0.000 3.164
Ho 3.619 2.607 0.000
Ho 0.000 5.800 0.000
Ho 3.619 5.800 0.000
Ho 0.000 2.607 0.000

Record 2
11
Lattice="5.686 0.000 -1.387 -0.201 6.337 -0.823 -0.558 2.155 10.059" Properties=species:S:1:pos:R:3 comment="Pm2Sm4Y5 (PBE, optimized geometry)" e_tot_ha_per_atom=-0.1991 space_group="C2/m (12)" pbc="T T T"
Pm 1.722 5.145 7.060
Pm 3.204 3.348 0.789
Sm 1.381 1.768 5.660
Sm 0.022 4.756 0.088
Sm 3.546 6.725 2.190
Sm 4.905 3.736 7.761
Y 4.071 3.718 4.342
Y 0.856 4.775 3.507
Y 4.367 7.006 5.554
Y 2.843 0.000 -0.693
Y 0.560 1.487 2.295

Record 3
5
Lattice="-1.104 1.130 6.976 -4.870 -5.238 0.078 3.989 -3.691 1.229" Properties=species:S:1:pos:R:3 comment="Cs2NaLiTl (PBE, optimized geometry)" e_tot_ha_per_atom=-0.0492 space_group="P4/mmm (123)" pbc="T T T"
Cs -2.435 -2.619 0.039
Cs -0.552 0.565 3.488
Na -0.993 -3.899 4.141
Tl 1.994 -1.845 0.615
Li 0.000 0.000 0.000

Record 4
12
Lattice="-2.954 3.535 0.328 -2.236 -2.471 6.489 5.605 4.351 3.589" Properties=species:S:1:pos:R:3 comment="Na2MgZnAg2 (PBE, optimized geometry)" e_tot_ha_per_atom=-0.0701 space_group="Pmc2_1 (26)" pbc="T T T"
Na -0.716 2.344 0.797
Na 0.042 -0.215 2.696
Na 2.167 4.214 6.603
Na 2.938 1.665 8.510
Mg 2.593 1.983 1.981
Mg 1.713 0.932 5.378
Zn 2.484 4.777 3.392
Zn -1.341 1.441 4.903
Ag 3.694 2.674 4.449
Ag 0.451 3.044 3.770
Ag -0.384 -0.859 5.798
Ag -0.257 2.126 7.276